Material: Co2Tc
Method: DFT, GGA-PBE
State: optimized geometry

a b c (Å): 9.975 9.975 9.975
angles (deg): 90.00 90.00 90.00
Space group Fd-3m (No. 227, origin choice 2)
One atom of each set of equivalent atoms:
Co 0.000 0.000 0.000
Tc 0.125 0.125 0.125

ΔH_f (0 K)	9.0	eV per formula unit
E_tot	-15.58	eV per formula unit
crystal system	cubic
calculated volume	41.35	Å³ per atom
distance to the lowest polymorph of the same formula	2.896	eV per atom

Material: HoEr2Tm3Bi2Os
Method: DFT, GGA-PBE
State: optimized geometry

a b c (Å): 4.207 14.260 8.211
angles (deg): 90.00 90.00 90.00
Space group Amm2 (No. 38)
One atom of each set of equivalent atoms:
Ho 0.000 0.000 0.000
Er 0.000 0.117 0.352
Tm 0.500 0.000 0.618
Tm 0.500 0.192 0.043
Bi 0.000 0.167 0.734
Os 0.500 0.000 0.236

E_tot	-51.26	eV per formula unit
crystal system	orthorhombic
calculated volume	27.36	Å³ per atom

Material: Dy2HoGa
Method: DFT, GGA-PBE
State: optimized geometry

a b c (Å): 5.221 6.946 11.887
angles (deg): 90.00 90.00 90.00
Space group Amm2 (No. 38)
One atom of each set of equivalent atoms:
Dy 0.000 0.000 0.000
Dy 0.000 0.249 0.766
Dy 0.500 0.000 0.680
Ho 0.000 0.000 0.495
Ho 0.500 0.000 0.185
Ga 0.500 0.242 0.916

E_tot	-17.35	eV per formula unit
crystal system	orthorhombic
calculated volume	26.94	Å³ per atom
distance to the lowest polymorph of the same formula	0.119	eV per atom

Material: Li2ZrIn
Method: DFT, GGA-PBE
State: optimized geometry

a b c (Å): 6.761 6.761 6.761
angles (deg): 90.00 90.00 90.00
Space group F-43m (No. 216)
One atom of each set of equivalent atoms:
Li 0.000 0.000 0.000
Li 0.250 0.250 0.250
Zr 0.250 0.250 0.750
In 0.000 0.000 0.500

E_tot	-15.28	eV per formula unit
crystal system	cubic
calculated volume	19.32	Å³ per atom

Material: LaPaPb
Method: DFT, GGA-PBE
State: optimized geometry

a b c (Å): 7.497 7.497 7.497
angles (deg): 90.00 90.00 90.00
Space group F-43m (No. 216)
One atom of each set of equivalent atoms:
La 0.000 0.000 0.000
Pa 0.250 0.250 0.250
Pb 0.000 0.000 0.500

E_tot	-16.26	eV per formula unit
crystal system	cubic
calculated volume	35.11	Å³ per atom
distance to the lowest polymorph of the same formula	0.000	eV per atom

Material: HfAgPd2
Method: DFT, GGA-PBE
State: optimized geometry

a b c (Å): 6.474 6.474 6.474
angles (deg): 90.00 90.00 90.00
Space group F-43m (No. 216)
One atom of each set of equivalent atoms:
Hf 0.000 0.000 0.000
Ag 0.250 0.250 0.750
Pd 0.000 0.000 0.500
Pd 0.250 0.250 0.250

ΔH_f (0 K)	-1.5	eV per formula unit
E_tot	-24.59	eV per formula unit
crystal system	cubic
calculated volume	16.96	Å³ per atom

Material: Tl2FeAgCl6
Method: DFT, GGA-PBE
State: optimized geometry

a b c (Å): 7.1773 7.1773 17.1749
angles (deg): 90.00 90.00 120.00
Space group R-3 (No. 148, hexagonal axes)
One atom of each set of equivalent atoms:
Tl 0.0000 0.0000 0.2495
Fe 0.0000 0.0000 0.0000
Ag 0.0000 0.0000 0.5000
Cl 0.0213 0.5559 0.7469

E_tot	-34.86	eV per formula unit
crystal system	trigonal
calculated volume	25.54	Å³ per atom
distance to the lowest polymorph of the same formula	0.005	eV per atom

Material: Ba2ZnTcS6
Method: DFT, GGA-PBE
State: optimized geometry

a b c (Å): 6.838 6.838 9.686
angles (deg): 90.00 90.00 90.00
Space group I4/m (No. 87)
One atom of each set of equivalent atoms:
Ba 0.000 0.500 0.250
Zn 0.000 0.000 0.000
Tc 0.000 0.000 0.500
S 0.000 0.000 0.253
S 0.240 0.253 0.500

E_tot	-48.98	eV per formula unit
crystal system	tetragonal
calculated volume	22.65	Å³ per atom

Material: DyHf3Tl2C2
Method: DFT, GGA-PBE
State: optimized geometry

a b c (Å): 3.3911 3.3911 15.2857
angles (deg): 90.00 90.00 120.00
Space group P3m1 (No. 156)
One atom of each set of equivalent atoms:
Dy 0.0000 0.0000 0.0000
Hf 0.0000 0.0000 0.6568
Hf 0.6667 0.3333 0.1709
Hf 0.6667 0.3333 0.4998
Tl 0.0000 0.0000 0.3363
Tl 0.6667 0.3333 0.8233
C 0.3333 0.6667 0.0990
C 0.3333 0.6667 0.5783

E_tot	-62.05	eV per formula unit
crystal system	trigonal
calculated volume	19.03	Å³ per atom

Material: AlZnOs2
Method: DFT, GGA-PBE
State: optimized geometry

a b c (Å): 6.113 6.113 6.113
angles (deg): 90.00 90.00 90.00
Space group F-43m (No. 216)
One atom of each set of equivalent atoms:
Al 0.000 0.000 0.000
Zn 0.250 0.250 0.250
Os 0.000 0.000 0.500
Os 0.250 0.250 0.750

E_tot	-26.75	eV per formula unit
crystal system	cubic
calculated volume	14.28	Å³ per atom

Material: MgCdMoOs
Method: DFT, GGA-PBE
State: optimized geometry

a b c (Å): 6.392 6.392 6.392
angles (deg): 90.00 90.00 90.00
Space group F-43m (No. 216)
One atom of each set of equivalent atoms:
Mg 0.000 0.000 0.000
Cd 0.250 0.250 0.250
Mo 0.250 0.250 0.750
Os 0.000 0.000 0.500

E_tot	-23.50	eV per formula unit
crystal system	cubic
calculated volume	16.32	Å³ per atom
distance to the lowest polymorph of the same formula	0.000	eV per atom

Material: Li4Dy3Sn4
Method: DFT, GGA-PBE
State: optimized geometry

a b c (Å): 4.572 7.076 14.998
angles (deg): 90.00 90.00 90.00
Space group Immm (No. 71)
One atom of each set of equivalent atoms:
Li 0.000 0.190 0.173
Dy 0.000 0.000 0.373
Dy 0.000 0.500 0.500
Sn 0.000 0.297 0.000
Sn 0.000 0.500 0.285

E_tot	-44.17	eV per formula unit
crystal system	orthorhombic
calculated volume	22.05	Å³ per atom

Material: Zn3Fe
Method: DFT, GGA-PBE
State: optimized geometry

a b c (Å): 4.184 5.156 4.761
angles (deg): 90.00 90.00 90.00
Space group Pmmn (No. 59, origin choice 2)
One atom of each set of equivalent atoms:
Zn 0.250 0.000 0.161
Zn 0.250 0.250 0.653
Fe 0.250 0.750 0.648

ΔH_f (0 K)	0.3	eV per formula unit
E_tot	-11.79	eV per formula unit
crystal system	orthorhombic
calculated volume	12.84	Å³ per atom

Material: NaTmLu
Method: DFT, GGA-PBE
State: optimized geometry

a b c (Å): 7.422 7.422 7.422
angles (deg): 90.00 90.00 90.00
Space group F-43m (No. 216)
One atom of each set of equivalent atoms:
Na 0.000 0.000 0.000
Tm 0.250 0.250 0.250
Lu 0.250 0.250 0.750

E_tot	-7.71	eV per formula unit
crystal system	cubic
calculated volume	34.07	Å³ per atom
distance to the lowest polymorph of the same formula	0.000	eV per atom

Material: Nb2InSn2
Method: DFT, GGA-PBE
State: optimized geometry

a b c (Å): 4.078 4.078 14.016
angles (deg): 90.00 90.00 90.00
Space group I4/mmm (No. 139)
One atom of each set of equivalent atoms:
Nb 0.000 0.500 0.250
In 0.000 0.000 0.000
Sn 0.000 0.000 0.397

E_tot	-29.34	eV per formula unit
crystal system	tetragonal
calculated volume	23.30	Å³ per atom
distance to the lowest polymorph of the same formula	0.041	eV per atom

Material: Li4Ni2AsP
Method: DFT, GGA-PBE
State: optimized geometry

a b c (Å): 3.997 3.997 5.702
angles (deg): 90.00 90.00 90.00
Space group P-4m2 (No. 115)
One atom of each set of equivalent atoms:
Li 0.000 0.000 0.000
Li 0.000 0.500 0.241
Li 0.500 0.500 0.500
Ni 0.000 0.500 0.766
As 0.000 0.000 0.500
P 0.500 0.500 0.000

E_tot	-33.04	eV per formula unit
crystal system	tetragonal
calculated volume	11.39	Å³ per atom

Material: InNiB
Method: DFT, GGA-PBE
State: optimized geometry

a b c (Å): 5.437 5.437 5.437
angles (deg): 90.00 90.00 90.00
Space group F-43m (No. 216)
One atom of each set of equivalent atoms:
In 0.000 0.000 0.000
Ni 0.000 0.000 0.500
B 0.250 0.250 0.250

E_tot	-13.79	eV per formula unit
crystal system	cubic
calculated volume	13.39	Å³ per atom

Material: GdIn5Ni
Method: DFT, GGA-PBE
State: optimized geometry

a b c (Å): 4.639 4.639 7.485
angles (deg): 90.00 90.00 90.00
Space group P4/mmm (No. 123)
One atom of each set of equivalent atoms:
Gd 0.000 0.000 0.000
In 0.000 0.500 0.304
In 0.500 0.500 0.000
Ni 0.000 0.000 0.500

E_tot	-26.06	eV per formula unit
crystal system	tetragonal
calculated volume	23.01	Å³ per atom

Material: YGeW
Method: DFT, GGA-PBE
State: optimized geometry

a b c (Å): 6.381 6.381 6.381
angles (deg): 90.00 90.00 90.00
Space group F-43m (No. 216)
One atom of each set of equivalent atoms:
Y 0.000 0.000 0.000
Ge 0.250 0.250 0.750
W 0.000 0.000 0.500

E_tot	-23.11	eV per formula unit
crystal system	cubic
calculated volume	21.65	Å³ per atom
distance to the lowest polymorph of the same formula	0.000	eV per atom

Material: YPt2Au
Method: DFT, GGA-PBE
State: optimized geometry

a b c (Å): 6.675 6.675 6.675
angles (deg): 90.00 90.00 90.00
Space group F-43m (No. 216)
One atom of each set of equivalent atoms:
Y 0.000 0.000 0.000
Pt 0.000 0.000 0.500
Pt 0.250 0.250 0.750
Au 0.250 0.250 0.250

ΔH_f (0 K)	-2.6	eV per formula unit
E_tot	-24.48	eV per formula unit
crystal system	cubic
calculated volume	18.59	Å³ per atom